# Pr2CdNi | Alexandria | PBE | relaxed
# - calculated volume (A^3/atom) = 28.68
# - energy of formation from the pure elements (kJ/mol of atoms) = -15.7
# - DFT total energy (eV/cell) = -50.72
# - energy above the lowest structure with this stoichiometry (meV per atom) = 89
data_Pr2CdNi
_chemical_formula_sum 'Pr6 Cd3 Ni3'
_space_group_name_H-M_alt 'R -3 m'
_space_group_IT_number 166
_space_group_name_Hall '-R 3 2"'
_cell_length_a 3.9968
_cell_length_b 3.9968
_cell_length_c 24.8766
_cell_angle_alpha 90.00
_cell_angle_beta 90.00
_cell_angle_gamma 120.00
loop_
_atom_site_label
_atom_site_fract_x
_atom_site_fract_y
_atom_site_fract_z
Pr1 0.0000 0.0000 0.2326
Cd1 0.0000 0.0000 0.0000
Ni1 0.0000 0.0000 0.5000